The following is a PBE with a Hubbard U calculation of a geometry-optimized UGa2CoO8 structure, from the Alexandria database.

Cell lengths 4.693, 4.696, 6.181 Å; angles 88.03, 88.03, 88.55 degrees
Atoms (fractional coordinates):
U  0.000  0.000  0.000
Ga  0.495  0.495  0.265
Ga  0.505  0.505  0.735
Co  0.000  0.000  0.500
O  0.194  0.193  0.270
O  0.203  0.202  0.749
O  0.293  0.706  0.500
O  0.314  0.684  0.000
O  0.686  0.316  0.000
O  0.707  0.294  0.500
O  0.797  0.798  0.251
O  0.806  0.807  0.730

Total magnetic moment: 0.252 μB per atom
E_tot: -7.0295 eV per atom